Record 1
First-principles (GGA-PBE) data for an optimized crystal structure of BeFeNi2, as listed in Alexandria via LeMat-Bulk.

a b c (Å): 4.294 4.294 4.294
angles (deg): 132.98 132.98 68.68
Element x y z (fractional)
Ni1 0.000 0.000 0.000
Ni2 0.250 0.750 0.500
Fe1 0.750 0.250 0.500
Be1 0.500 0.500 0.000

Summary:
Total magnetic moment = 3.5 Bohr magnetons per cell

---

Record 2
First-principles (GGA-PBE) data for an optimized crystal structure of BeFe3Ni6, as listed in Alexandria via LeMat-Bulk.

a b c (Å): 3.556 7.693 7.921
angles (deg): 92.27 90.00 90.00
Element x y z (fractional)
Be1 0.250 0.946 0.608
Be2 0.750 0.054 0.392
Fe1 0.250 0.556 0.404
Fe2 0.750 0.444 0.596
Fe3 0.250 0.345 0.786
Fe4 0.750 0.655 0.214
Fe5 0.250 0.753 0.007
Fe6 0.750 0.247 0.993
Ni1 0.250 0.451 0.099
Ni2 0.750 0.549 0.901
Ni3 0.250 0.153 0.189
Ni4 0.750 0.847 0.811
Ni5 0.250 0.654 0.703
Ni6 0.750 0.346 0.297
Ni7 0.250 0.228 0.487
Ni8 0.750 0.772 0.513
Ni9 0.250 0.871 0.318
Ni10 0.750 0.129 0.682
Ni11 0.250 0.048 0.891
Ni12 0.750 0.952 0.109

Summary:
Total magnetic moment = 22.1 Bohr magnetons per cell

---

Record 3
First-principles (GGA-PBE) data for an optimized crystal structure of BeFeNi2, as listed in Alexandria via LeMat-Bulk.

a b c (Å): 7.908 7.908 7.908
angles (deg): 17.96 17.96 17.96
Element x y z (fractional)
Ni1 0.000 0.000 0.000
Ni2 0.244 0.244 0.244
Fe1 0.754 0.754 0.754
Be1 0.502 0.502 0.502

Summary:
Total magnetic moment = 2.6 Bohr magnetons per cell

---

Record 4
First-principles (GGA-PBE) data for an optimized crystal structure of Be8FeNi3, as listed in Alexandria via LeMat-Bulk.

a b c (Å): 4.173 4.173 6.751
angles (deg): 90.00 90.00 120.00
Element x y z (fractional)
Be1 0.333 0.667 0.500
Be2 0.333 0.667 0.002
Be3 0.503 0.006 0.751
Be4 0.503 0.497 0.751
Be5 0.994 0.497 0.751
Be6 0.163 0.325 0.248
Be7 0.163 0.837 0.248
Be8 0.675 0.837 0.248
Fe1 0.000 0.000 0.559
Ni1 0.667 0.333 0.445
Ni2 0.667 0.333 0.061
Ni3 0.000 0.000 0.934

Summary:
Total magnetic moment = 2.0 Bohr magnetons per cell

---

no.,E_tot (Ha/atom)
1,-0.223
2,-0.238
3,-0.221
4,-0.181